First-principles (PBE) data for an optimized crystal structure of SmLuMg, as listed in Alexandria via LeMat-Bulk.

Calculated values
The calculated density comes out at 6.7 g/cm³. As for the total magnetization: 0.07 μB/f.u. As for the excess energy over the best structure of this formula in the dataset: 0 meV/atom. For the calculated formation energy, the calculation gives -0.03 eV per atom. Its space group is I4mm (107).

a = 7.2993 Å, b = 7.2993 Å, c = 7.2993 Å
α = 151.78°, β = 151.78°, γ = 40.34°
Last column: nearest neighbours and their distance in Å.
Fractional positions:
Sm 0.0000 0.0000 0.0000  4 Mg 3.41, 4 Lu 3.48, 4 Sm 3.56
Lu 0.6757 0.6757 0.0000  4 Mg 3.30, 4 Sm 3.48, 4 Lu 3.56
Mg 0.3317 0.3317 0.0000  4 Lu 3.30, 4 Sm 3.41, 4 Mg 3.56



First-principles (PBE) data for an optimized crystal structure of SmLuMg2, as listed in Alexandria via LeMat-Bulk.

Calculated values
The calculated density comes out at 5.7 g/cm³. As for the total magnetization: 0.00 μB/f.u. As for the excess energy over the best structure of this formula in the dataset: 0 meV/atom. For the calculated formation energy, the calculation gives -0.08 eV per atom. Its space group is Fm-3m (225).

a = 5.3583 Å, b = 5.3583 Å, c = 5.3583 Å
α = 60.00°, β = 60.00°, γ = 60.00°
Last column: nearest neighbours and their distance in Å.
Fractional positions:
Sm 0.0000 0.0000 0.0000  8 Mg 3.28
Lu 0.5000 0.5000 0.5000  8 Mg 3.28
Mg 0.2500 0.2500 0.2500  4 Sm 3.28, 4 Lu 3.28
Mg 0.7500 0.7500 0.7500  4 Sm 3.28, 4 Lu 3.28



First-principles (PBE) data for an optimized crystal structure of SmLuMgSn, as listed in Alexandria via LeMat-Bulk.

Calculated values
The calculated density comes out at 7.4 g/cm³. As for the total magnetization: 0.00 μB/f.u. For the calculated formation energy, the calculation gives -0.37 eV per atom. Its space group is F-43m (216).

a = 5.3014 Å, b = 5.3014 Å, c = 5.3014 Å
α = 60.00°, β = 60.00°, γ = 60.00°
Last column: nearest neighbours and their distance in Å.
Fractional positions:
Sm 0.0000 0.0000 0.0000  4 Sn 3.25, 4 Mg 3.25
Lu 0.5000 0.5000 0.5000  4 Mg 3.25, 4 Sn 3.25
Mg 0.7500 0.7500 0.7500  4 Lu 3.25, 4 Sm 3.25
Sn 0.2500 0.2500 0.2500  4 Sm 3.25, 4 Lu 3.25



First-principles (PBE) data for an optimized crystal structure of SmLuMgTc, as listed in Alexandria via LeMat-Bulk.

Calculated values
The calculated density comes out at 8.3 g/cm³. As for the total magnetization: 0.00 μB/f.u. For the calculated formation energy, the calculation gives 0.01 eV per atom. Its space group is F-43m (216).

a = 5.0317 Å, b = 5.0317 Å, c = 5.0317 Å
α = 60.00°, β = 60.00°, γ = 60.00°
Last column: nearest neighbours and their distance in Å.
Fractional positions:
Sm 0.0000 0.0000 0.0000  4 Tc 3.08, 4 Mg 3.08
Lu 0.5000 0.5000 0.5000  4 Tc 3.08, 4 Mg 3.08
Mg 0.2500 0.2500 0.2500  4 Lu 3.08, 4 Sm 3.08
Tc 0.7500 0.7500 0.7500  4 Lu 3.08, 4 Sm 3.08



First-principles (PBE) data for an optimized crystal structure of SmLuThMg, as listed in Alexandria via LeMat-Bulk.

Calculated values
The calculated density comes out at 8.1 g/cm³. As for the total magnetization: 0.00 μB/f.u. For the calculated formation energy, the calculation gives 0.08 eV per atom. Its space group is F-43m (216).

a = 5.5213 Å, b = 5.5213 Å, c = 5.5213 Å
α = 60.00°, β = 60.00°, γ = 60.00°
Last column: nearest neighbours and their distance in Å.
Fractional positions:
Sm 0.0000 0.0000 0.0000  4 Mg 3.38, 4 Lu 3.38
Lu 0.2500 0.2500 0.2500  4 Th 3.38, 4 Sm 3.38
Th 0.5000 0.5000 0.5000  4 Mg 3.38, 4 Lu 3.38
Mg 0.7500 0.7500 0.7500  4 Th 3.38, 4 Sm 3.38



First-principles (PBE) data for an optimized crystal structure of SmLuMgTl, as listed in Alexandria via LeMat-Bulk.

Calculated values
The calculated density comes out at 8.5 g/cm³. As for the total magnetization: 0.00 μB/f.u. For the calculated formation energy, the calculation gives -0.21 eV per atom. Its space group is F-43m (216).

a = 5.3436 Å, b = 5.3436 Å, c = 5.3436 Å
α = 60.00°, β = 60.00°, γ = 60.00°
Last column: nearest neighbours and their distance in Å.
Fractional positions:
Sm 0.0000 0.0000 0.0000  4 Tl 3.27, 4 Mg 3.27
Lu 0.5000 0.5000 0.5000  4 Tl 3.27, 4 Mg 3.27
Mg 0.2500 0.2500 0.2500  4 Lu 3.27, 4 Sm 3.27
Tl 0.7500 0.7500 0.7500  4 Lu 3.27, 4 Sm 3.27



First-principles (PBE) data for an optimized crystal structure of SmTmLuMg, as listed in Alexandria via LeMat-Bulk.

Calculated values
The calculated density comes out at 7.4 g/cm³. As for the total magnetization: 0.00 μB/f.u. For the calculated formation energy, the calculation gives 0.03 eV per atom. Its space group is F-43m (216).

a = 5.4720 Å, b = 5.4720 Å, c = 5.4720 Å
α = 60.00°, β = 60.00°, γ = 60.00°
Last column: nearest neighbours and their distance in Å.
Fractional positions:
Sm 0.0000 0.0000 0.0000  4 Lu 3.35, 4 Mg 3.35
Tm 0.5000 0.5000 0.5000  4 Lu 3.35, 4 Mg 3.35
Lu 0.7500 0.7500 0.7500  4 Tm 3.35, 4 Sm 3.35
Mg 0.2500 0.2500 0.2500  4 Tm 3.35, 4 Sm 3.35



First-principles (PBE) data for an optimized crystal structure of SmYLuMg, as listed in Alexandria via LeMat-Bulk.

Calculated values
The calculated density comes out at 6.2 g/cm³. As for the total magnetization: 0.00 μB/f.u. For the calculated formation energy, the calculation gives 0.02 eV per atom. Its space group is F-43m (216).

a = 5.5050 Å, b = 5.5050 Å, c = 5.5050 Å
α = 60.00°, β = 60.00°, γ = 60.00°
Last column: nearest neighbours and their distance in Å.
Fractional positions:
Sm 0.0000 0.0000 0.0000  4 Mg 3.37, 4 Lu 3.37
Y 0.5000 0.5000 0.5000  4 Lu 3.37, 4 Mg 3.37
Lu 0.7500 0.7500 0.7500  4 Y 3.37, 4 Sm 3.37
Mg 0.2500 0.2500 0.2500  4 Y 3.37, 4 Sm 3.37



First-principles (PBE) data for an optimized crystal structure of SmLuMgZn, as listed in Alexandria via LeMat-Bulk.

Calculated values
The calculated density comes out at 7.0 g/cm³. As for the total magnetization: 0.00 μB/f.u. For the calculated formation energy, the calculation gives -0.17 eV per atom. Its space group is F-43m (216).

a = 5.1925 Å, b = 5.1925 Å, c = 5.1925 Å
α = 60.00°, β = 60.00°, γ = 60.00°
Last column: nearest neighbours and their distance in Å.
Fractional positions:
Sm 0.0000 0.0000 0.0000  4 Zn 3.18, 4 Mg 3.18
Lu 0.5000 0.5000 0.5000  4 Zn 3.18, 4 Mg 3.18
Mg 0.2500 0.2500 0.2500  4 Sm 3.18, 4 Lu 3.18
Zn 0.7500 0.7500 0.7500  4 Sm 3.18, 4 Lu 3.18



First-principles (PBE) data for an optimized crystal structure of Lu2MgSn, as listed in Alexandria via LeMat-Bulk.

Calculated values
The calculated density comes out at 8.2 g/cm³. As for the total magnetization: 0.00 μB/f.u. For the calculated formation energy, the calculation gives -0.38 eV per atom. Its space group is P4/mmm (123).

a = 4.7584 Å, b = 4.7584 Å, c = 4.4055 Å
α = 90.00°, β = 90.00°, γ = 90.00°
Last column: nearest neighbours and their distance in Å.
Fractional positions:
Lu 0.0000 0.5000 0.0000  4 Sn 3.24, 4 Mg 3.24, 4 Lu 3.36
Lu 0.5000 0.0000 0.0000  4 Sn 3.24, 4 Mg 3.24, 4 Lu 3.36
Mg 0.0000 0.0000 0.5000  8 Lu 3.24, 4 Sn 3.36
Sn 0.5000 0.5000 0.5000  8 Lu 3.24, 4 Mg 3.36



First-principles (PBE) data for an optimized crystal structure of LuMgSn, as listed in Alexandria via LeMat-Bulk.

Calculated values
The calculated density comes out at 7.0 g/cm³. As for the total magnetization: 0.01 μB/f.u. For the calculated formation energy, the calculation gives -0.25 eV per atom. Its space group is I4mm (107).

a = 6.7993 Å, b = 6.7993 Å, c = 6.7993 Å
α = 150.61°, β = 150.61°, γ = 42.04°
Last column: nearest neighbours and their distance in Å.
Fractional positions:
Lu 0.0000 0.0000 0.0000  4 Sn 3.25, 4 Mg 3.33, 4 Lu 3.45
Mg 0.6790 0.6790 0.0000  4 Sn 3.11, 4 Lu 3.33, 4 Mg 3.45
Sn 0.3309 0.3309 0.0000  4 Mg 3.11, 4 Lu 3.25, 4 Sn 3.45



First-principles (PBE) data for an optimized crystal structure of LuMg4Sn, as listed in Alexandria via LeMat-Bulk.

Calculated values
The calculated density comes out at 4.4 g/cm³. As for the total magnetization: 0.00 μB/f.u. For the calculated formation energy, the calculation gives -0.02 eV per atom. Its space group is F-43m (216).

a = 5.9197 Å, b = 5.9197 Å, c = 5.9197 Å
α = 60.00°, β = 60.00°, γ = 60.00°
Last column: nearest neighbours and their distance in Å.
Fractional positions:
Lu 0.0000 0.0000 0.0000  12 Mg 3.47, 4 Sn 3.63
Mg 0.3749 0.3749 0.3749  6 Mg 2.96
Mg 0.3749 0.3749 0.8754  6 Mg 2.96
Mg 0.3749 0.8754 0.3749  6 Mg 2.96
Mg 0.8754 0.3749 0.3749  6 Mg 2.96
Sn 0.7500 0.7500 0.7500  12 Mg 3.47, 4 Lu 3.63



First-principles (PBE) data for an optimized crystal structure of Lu2MgSn, as listed in Alexandria via LeMat-Bulk.

Calculated values
The calculated density comes out at 8.1 g/cm³. As for the total magnetization: 0.00 μB/f.u. For the calculated formation energy, the calculation gives -0.33 eV per atom. Its space group is P4/mmm (123).

a = 3.8278 Å, b = 3.8278 Å, c = 6.9041 Å
α = 90.00°, β = 90.00°, γ = 90.00°
Last column: nearest neighbours and their distance in Å.
Fractional positions:
Lu 0.0000 0.0000 0.2486  4 Sn 3.20, 4 Mg 3.22, 2 Lu 3.43-3.47
Lu 0.0000 0.0000 0.7514  4 Sn 3.20, 4 Mg 3.22, 2 Lu 3.43-3.47
Mg 0.5000 0.5000 0.5000  8 Lu 3.22, 2 Sn 3.45
Sn 0.5000 0.5000 0.0000  8 Lu 3.20, 2 Mg 3.45



First-principles (PBE) data for an optimized crystal structure of Lu2MgSn, as listed in Alexandria via LeMat-Bulk.

Calculated values
The calculated density comes out at 7.1 g/cm³. As for the total magnetization: 0.00 μB/f.u. For the calculated formation energy, the calculation gives 0.08 eV per atom. Its space group is R-3m (166).

a = 11.5337 Å, b = 11.5337 Å, c = 11.5337 Å
α = 17.01°, β = 17.01°, γ = 17.01°
Last column: nearest neighbours and their distance in Å.
Fractional positions:
Lu 0.0903 0.0903 0.0903  1 Sn 3.08, 3 Mg 3.26, 6 Lu 3.41
Lu 0.9097 0.9097 0.9097  1 Sn 3.08, 3 Mg 3.26, 6 Lu 3.41
Mg 0.5000 0.5000 0.5000  6 Lu 3.26, 6 Mg 3.41
Sn 0.0000 0.0000 0.0000  2 Lu 3.08, 6 Sn 3.41



First-principles (PBE) data for an optimized crystal structure of LuMgSn, as listed in Alexandria via LeMat-Bulk.

Calculated values
The calculated density comes out at 7.3 g/cm³. As for the total magnetization: 0.00 μB/f.u. For the calculated formation energy, the calculation gives -0.38 eV per atom. Its space group is P3m1 (156).

a = 4.9261 Å, b = 4.9261 Å, c = 3.4358 Å
α = 90.00°, β = 90.00°, γ = 120.00°
Last column: nearest neighbours and their distance in Å.
Fractional positions:
Lu 0.0000 0.0000 0.0000  6 Sn 3.32-3.33, 6 Mg 3.32-3.33, 2 Lu 3.44
Mg 0.3333 0.6667 0.4985  3 Sn 2.84
Sn 0.6667 0.3333 0.5016  3 Mg 2.84